No. 1
VASP calculation (PBE) on a relaxed structure of Tl5InBi2.

The structure in POSCAR format:
```
Tl5InBi2
1.0
7.1851 0.0000 0.0000
0.0000 14.3688 0.0000
0.0000 0.0000 4.8220
Tl In Bi
10 2 4
direct
0.0000 0.0000 0.0000
0.0152 0.2515 0.0000
0.2412 0.8755 0.5000
0.2588 0.3755 0.5000
0.4848 0.7515 0.0000
0.5000 0.5000 0.0000
0.5152 0.2485 0.0000
0.7412 0.6245 0.5000
0.7588 0.1245 0.5000
0.9848 0.7485 0.0000
0.0000 0.5000 0.0000
0.5000 0.0000 0.0000
0.2357 0.6190 0.5000
0.2643 0.1190 0.5000
0.7357 0.8810 0.5000
0.7643 0.3810 0.5000
```

## Properties
Energy of formation from the pure elements in eV/atom: -0.018
Space group: No. 55
N(E_F) in states/eV/f.u.: 3.31

No. 2
VASP calculation (PBE) on a relaxed structure of Sc3Ta.

The structure in POSCAR format:
```
Sc3Ta
1.0
5.6281 0.0000 0.0000
0.0000 5.6281 0.0000
0.0000 0.0000 5.6281
Sc Ta
6 2
direct
0.0000 0.2500 0.5000
0.0000 0.7500 0.5000
0.2500 0.5000 0.0000
0.5000 0.0000 0.2500
0.5000 0.0000 0.7500
0.7500 0.5000 0.0000
0.0000 0.0000 0.0000
0.5000 0.5000 0.5000
```

## Properties
Energy of formation from the pure elements in eV/atom: 0.351
Offset from the most stable computed form in meV per atom: 240
Space group: No. 223
N(E_F) in states/eV/f.u.: 7.19

No. 3
VASP calculation (PBE) on a relaxed structure of Ta2FeMo.

The structure in POSCAR format:
```
Ta2FeMo
1.0
3.1964 0.0000 0.0000
0.0000 3.1964 0.0000
0.0000 0.0000 6.2247
Ta Fe Mo
2 1 1
direct
0.0000 0.0000 0.0000
0.5000 0.5000 0.2774
0.0000 0.0000 0.5139
0.5000 0.5000 0.7486
```

## Properties
Energy of formation from the pure elements in eV/atom: 0.000
Offset from the most stable computed form in meV per atom: 176
Space group: No. 99
N(E_F) in states/eV/f.u.: 4.27

No. 4
VASP calculation (PBE) on a relaxed structure of BaZnFeC2.

The structure in POSCAR format:
```
BaZnFeC2
1.0
4.7670 0.0000 0.0000
0.0000 4.7670 0.0000
0.0000 0.0000 5.0936
Ba Zn Fe C
1 1 1 2
direct
0.0000 0.0000 0.0000
0.5000 0.5000 0.5000
0.0000 0.0000 0.5000
0.0000 0.5000 0.0000
0.5000 0.0000 0.0000
```

## Properties
Energy of formation from the pure elements in eV/atom: 3.337
Space group: No. 123
N(E_F) in states/eV/f.u.: 8.54

No. 5
VASP calculation (PBE) on a relaxed structure of SrMg2Tc.

The structure in POSCAR format:
```
SrMg2Tc
1.0
4.6519 0.0000 0.0000
0.0000 4.6519 0.0000
0.0000 0.0000 20.1921
Sr Mg Tc
4 8 4
direct
0.0000 0.0000 0.0000
0.0000 0.5000 0.2500
0.5000 0.0000 0.7500
0.5000 0.5000 0.5000
0.1588 0.2500 0.6250
0.2500 0.6588 0.8750
0.2500 0.8412 0.3750
0.3412 0.2500 0.1250
0.6588 0.7500 0.1250
0.7500 0.1588 0.3750
0.7500 0.3412 0.8750
0.8412 0.7500 0.6250
0.0000 0.0000 0.5000
0.0000 0.5000 0.7500
0.5000 0.0000 0.2500
0.5000 0.5000 0.0000
```

## Properties
Energy of formation from the pure elements in eV/atom: 0.810
Offset from the most stable computed form in meV per atom: 448
Space group: No. 122
N(E_F) in states/eV/f.u.: 4.86

No. 6
VASP calculation (PBE) on a relaxed structure of LaAsRu2.

The structure in POSCAR format:
```
LaAsRu2
1.0
4.3310 0.0000 0.0000
-2.1655 3.7508 0.0000
0.0000 0.0000 15.3479
La As Ru
3 3 6
direct
0.0000 0.0000 0.0000
0.3333 0.6667 0.6667
0.6667 0.3333 0.3333
0.0000 0.0000 0.5000
0.3333 0.6667 0.1667
0.6667 0.3333 0.8333
0.0000 0.0000 0.1967
0.0000 0.0000 0.8033
0.3333 0.6667 0.4700
0.3333 0.6667 0.8634
0.6667 0.3333 0.1366
0.6667 0.3333 0.5300
```

## Properties
Energy of formation from the pure elements in eV/atom: -0.300
Space group: No. 166
N(E_F) in states/eV/f.u.: 4.95

No. 7
VASP calculation (PBE) on a relaxed structure of Dy3Sc5Bi8.

The structure in POSCAR format:
```
Dy3Sc5Bi8
1.0
4.3496 2.5112 7.0956
-4.3496 2.5112 7.0956
0.0000 -5.0225 7.0956
Dy Sc Bi
3 5 8
direct
0.0000 0.5000 0.5000
0.5000 0.0000 0.5000
0.5000 0.5000 0.0000
0.0000 0.0000 0.0000
0.0000 0.0000 0.5000
0.0000 0.5000 0.0000
0.5000 0.0000 0.0000
0.5000 0.5000 0.5000
0.2402 0.7500 0.7500
0.2451 0.2451 0.2451
0.2500 0.2500 0.7598
0.2500 0.7598 0.2500
0.7500 0.2402 0.7500
0.7500 0.7500 0.2402
0.7549 0.7549 0.7549
0.7598 0.2500 0.2500
```

## Properties
Energy of formation from the pure elements in eV/atom: -0.727
Space group: No. 166
N(E_F) in states/eV/f.u.: 4.11

No. 8
VASP calculation (PBE) on a relaxed structure of MgZn2PN4.

The structure in POSCAR format:
```
MgZn2PN4
1.0
6.4268 0.0000 0.0000
0.0000 5.4741 0.0000
0.0000 0.0000 5.1623
Mg Zn P N
2 4 2 8
direct
0.0000 0.1531 0.0000
0.5000 0.8469 0.5000
0.2461 0.3285 0.5069
0.2539 0.6715 0.0069
0.7461 0.6715 0.0069
0.7539 0.3285 0.5069
0.0000 0.8190 0.5083
0.5000 0.1810 0.0083
0.0000 0.1086 0.4097
0.0000 0.8073 0.8277
0.2132 0.6839 0.4006
0.2868 0.3161 0.9006
0.5000 0.1927 0.3277
0.5000 0.8914 0.9097
0.7132 0.3161 0.9006
0.7868 0.6839 0.4006
```

## Properties
ΔE_f (raw) in kJ/mol of atoms: -37
Space group: No. 31
N(E_F) in states/eV/f.u.: 5.57

No. 9
VASP calculation (PBE) on a relaxed structure of CaCr2Cl.

The structure in POSCAR format:
```
CaCr2Cl
1.0
3.3869 0.0000 0.0000
0.0000 3.3694 0.0000
-1.6766 0.0000 8.0018
Ca Cr Cl
1 2 1
direct
0.0000 0.0000 0.0000
0.1931 0.0000 0.3909
0.6449 0.5000 0.2934
0.4103 0.5000 0.8187
```

## Properties
ΔE_f (raw) in kJ/mol of atoms: -14
Offset from the most stable computed form in meV per atom: 0
Space group: No. 6
N(E_F) in states/eV/f.u.: 2.76

No. 10
VASP calculation (PBE) on a relaxed structure of Ba2NbTl3Se6.

The structure in POSCAR format:
```
Ba2NbTl3Se6
1.0
3.9020 -6.7375 0.0000
3.9020 6.7375 0.0000
-2.5327 0.0000 7.3721
Ba Nb Tl Se
2 1 3 6
direct
0.1672 0.8328 0.0000
0.8328 0.1672 0.0000
0.5000 0.5000 0.0000
0.0000 0.0000 0.5000
0.3401 0.6599 0.5000
0.6599 0.3401 0.5000
0.1563 0.4286 0.7895
0.2947 0.2947 0.2199
0.4286 0.1563 0.7895
0.5714 0.8437 0.2105
0.7053 0.7053 0.7801
0.8437 0.5714 0.2105
```

## Properties
ΔE_f (raw) in kJ/mol of atoms: -98
Space group: No. 12

No. 11
VASP calculation (PBE) on a relaxed structure of LiScTe4.

The structure in POSCAR format:
```
LiScTe4
1.0
0.0000 4.5030 4.5030
4.5030 0.0000 4.5030
4.5030 4.5030 0.0000
Li Sc Te
1 1 4
direct
0.0000 0.0000 0.0000
0.7500 0.7500 0.7500
0.3752 0.3752 0.3752
0.3752 0.3752 0.8744
0.3752 0.8744 0.3752
0.8744 0.3752 0.3752
```

## Properties
ΔE_f (raw) in kJ/mol of atoms: 19
Space group: No. 216
N(E_F) in states/eV/f.u.: 5.53

No. 12
VASP calculation (PBE) on a relaxed structure of Hf8AlAu2.

The structure in POSCAR format:
```
Hf8AlAu2
1.0
3.9205 -6.7720 0.0000
3.9205 6.7720 0.0000
-1.7103 0.0000 4.4820
Hf Al Au
8 1 2
direct
0.0943 0.3101 0.6105
0.2156 0.7844 0.0000
0.3101 0.0943 0.6105
0.3919 0.3919 0.1974
0.6081 0.6081 0.8026
0.6899 0.9057 0.3895
0.7844 0.2156 0.0000
0.9057 0.6899 0.3895
0.0000 0.0000 0.0000
0.3071 0.6929 0.5000
0.6929 0.3071 0.5000
```

## Properties
Energy of formation from the pure elements in eV/atom: -0.084
Space group: No. 12
N(E_F) in states/eV/f.u.: 8.68

Record-wise volume values, in A^3/atom: 31.1; 22.3; 15.9; 23.2; 27.3; 20.8; 29.1; 11.4; 22.8; 32.3; 30.4; 21.6